Computed, not measured: crystalline AcHo3Er2 at its relaxed geometry at the GGA-PBE level of DFT.

Calculated values
Volume ... 32.9 Å³/atom
Space group ... No. 15
Crystal system ... monoclinic
Energy of formation from the pure elements ... 0.1076 eV per atom
Raw total energy ... -4.39 eV/atom

Cell: 6.717 6.717 8.987 Å, 98.27 98.27 94.79°
Element x y z (fractional)
1 Ac 0.072 0.928 0.750
2 Ac 0.928 0.072 0.250
3 Ho 0.179 0.357 0.009
4 Ho 0.357 0.179 0.509
5 Ho 0.414 0.586 0.750
6 Ho 0.586 0.414 0.250
7 Ho 0.643 0.821 0.491
8 Ho 0.821 0.643 0.991
9 Er 0.131 0.618 0.374
10 Er 0.382 0.869 0.126
11 Er 0.618 0.131 0.874
12 Er 0.869 0.382 0.626



Computed, not measured: crystalline AcHo2Er at its relaxed geometry at the GGA-PBE level of DFT.

Calculated values
Volume ... 34.5 Å³/atom
Space group ... No. 11
Energy above the lowest structure with this stoichiometry ... 4.2 kJ per mole of atoms
Crystal system ... monoclinic
Energy of formation from the pure elements ... 0.0913 eV per atom
Raw total energy ... -4.37 eV/atom

Cell: 3.601 5.501 14.054 Å, 90.00 97.31 90.00°
Element x y z (fractional)
1 Ac 0.041 0.250 0.083
2 Ac 0.959 0.750 0.917
3 Ho 0.163 0.250 0.325
4 Ho 0.387 0.250 0.775
5 Ho 0.613 0.750 0.225
6 Ho 0.837 0.750 0.675
7 Er 0.230 0.750 0.459
8 Er 0.770 0.250 0.541



Computed, not measured: crystalline AcHo8Er6 at its relaxed geometry at the GGA-PBE level of DFT.

Calculated values
Volume ... 32.0 Å³/atom
Space group ... No. 148
Energy above the lowest structure with this stoichiometry ... 0.0 kJ per mole of atoms
Crystal system ... trigonal
Energy of formation from the pure elements ... 0.1553 eV per atom
Raw total energy ... -4.39 eV/atom

Cell: 8.623 8.623 8.623 Å, 62.72 62.72 62.72°
Element x y z (fractional)
1 Ac 0.000 0.000 0.000
2 Ho 0.111 0.744 0.718
3 Ho 0.256 0.282 0.889
4 Ho 0.282 0.889 0.256
5 Ho 0.423 0.423 0.423
6 Ho 0.577 0.577 0.577
7 Ho 0.718 0.111 0.744
8 Ho 0.744 0.718 0.111
9 Ho 0.889 0.256 0.282
10 Er 0.102 0.242 0.532
11 Er 0.242 0.532 0.102
12 Er 0.468 0.898 0.758
13 Er 0.532 0.102 0.242
14 Er 0.758 0.468 0.898
15 Er 0.898 0.758 0.468



Computed, not measured: crystalline AcHo6Er2 at its relaxed geometry at the GGA-PBE level of DFT.

Calculated values
Volume ... 32.8 Å³/atom
Space group ... No. 187
Energy above the lowest structure with this stoichiometry ... 0.0 kJ per mole of atoms
Crystal system ... hexagonal
Energy of formation from the pure elements ... 0.0796 eV per atom
Raw total energy ... -4.44 eV/atom

Cell: 3.607 3.607 26.214 Å, 90.00 90.00 120.00°
Element x y z (fractional)
1 Ac 0.000 0.000 0.000
2 Ho 0.000 0.000 0.224
3 Ho 0.000 0.000 0.436
4 Ho 0.000 0.000 0.564
5 Ho 0.000 0.000 0.776
6 Ho 0.333 0.667 0.118
7 Ho 0.333 0.667 0.882
8 Er 0.333 0.667 0.331
9 Er 0.333 0.667 0.669